# CsTl4BiPb2 PBE-GGA relaxed
data_CsTl4BiPb2
_chemical_formula_sum 'Cs1 Tl4 Bi1 Pb2'
_cell_length_a 11.173
_cell_length_b 11.173
_cell_length_c 11.173
_cell_angle_alpha 29.72
_cell_angle_beta 29.72
_cell_angle_gamma 29.72
_symmetry_space_group_name_H-M 'P 1'
_symmetry_Int_Tables_number 1
loop_
_symmetry_equiv_pos_as_xyz
'x,y,z'
loop_
_atom_site_label
_atom_site_type_symbol
_atom_site_fract_x
_atom_site_fract_y
_atom_site_fract_z
Cs1 Cs 0.000 0.000 0.000
Tl1 Tl 0.121 0.121 0.121
Tl2 Tl 0.404 0.404 0.404
Tl3 Tl 0.596 0.596 0.596
Tl4 Tl 0.879 0.879 0.879
Bi1 Bi 0.500 0.500 0.500
Pb1 Pb 0.224 0.224 0.224
Pb2 Pb 0.776 0.776 0.776
# Energy of formation from the pure elements = -15 kJ/mol of formula units